Here is a relaxed TbPm4Dy4 crystal from the Alexandria database. Energies are from PBE.

Geometry as POSCAR:
```
TbPm4Dy4
1.0
8.423 -2.802 0.000
8.423 2.802 0.000
-2.668 0.000 6.310
Tb Pm Dy
1 4 4
direct
0.000 0.000 0.000
0.218 0.218 0.287
0.367 0.367 0.039
0.633 0.633 0.961
0.782 0.782 0.713
0.128 0.128 0.682
0.427 0.427 0.621
0.573 0.573 0.379
0.872 0.872 0.318
```

Output
Electronic total energy, eV per atom: -4.57
DFT formation energy, kJ/mol of formula units: 91
Energy relative to the lowest polymorph listed for this composition, meV/atom: 87

=====

Here is a relaxed PmLuAlAg crystal from the Alexandria database. Energies are from PBE.

Geometry as POSCAR:
```
PmLuAlAg
1.0
0.000 3.657 3.657
3.657 0.000 3.657
3.657 3.657 0.000
Pm Lu Al Ag
1 1 1 1
direct
0.000 0.000 0.000
0.500 0.500 0.500
0.750 0.750 0.750
0.250 0.250 0.250
```

Output
Electronic total energy, eV per atom: -4.29
DFT formation energy, kJ/mol of formula units: -123